(1)
Ti2Mn2Co: relaxed, PBE-GGA.

abc: 3.045 14.568 2.982
angles: 90.00 90.00 90.00
Space group Cmmm (No. 65)
Asymmetric unit:
1 Ti 0.000 0.104 0.000 (multiplicity 4)
2 Mn 0.000 0.305 0.500 (multiplicity 4)
3 Co 0.000 0.500 0.500 (multiplicity 2)

DFT formation energy: -0.03 eV/atom
polymorph energy (0 for the lowest one): 0 meV/atom

=====

(2)
TiMn2Co: relaxed, PBE-GGA.

abc: 5.830 5.830 5.830
angles: 90.00 90.00 90.00
Space group Fm-3m (No. 225)
Asymmetric unit:
1 Ti 0.000 0.000 0.000 (multiplicity 4)
2 Mn 0.250 0.250 0.250 (multiplicity 8)
3 Co 0.000 0.000 0.500 (multiplicity 4)

DFT formation energy: -0.05 eV/atom

=====

(3)
Ti2MnCo: relaxed, PBE-GGA.

abc: 2.976 2.976 5.905
angles: 90.00 90.00 90.00
Space group P4/mmm (No. 123)
Asymmetric unit:
1 Ti 0.000 0.000 0.244 (multiplicity 2)
2 Mn 0.500 0.500 0.000 (multiplicity 1)
3 Co 0.500 0.500 0.500 (multiplicity 1)

DFT formation energy: -0.39 eV/atom
polymorph energy (0 for the lowest one): 0 meV/atom

=====

(4)
Ti2MnCo2: relaxed, PBE-GGA.

abc: 5.920 5.920 3.776
angles: 90.00 90.00 90.00
Space group P4/mbm (No. 127)
Asymmetric unit:
1 Ti 0.178 0.322 0.000 (multiplicity 4)
2 Mn 0.000 0.000 0.500 (multiplicity 2)
3 Co 0.135 0.635 0.500 (multiplicity 4)

DFT formation energy: -0.09 eV/atom
polymorph energy (0 for the lowest one): 22 meV/atom

=====

(5)
Ti2Mn2Co3: relaxed, PBE-GGA.

abc: 2.940 22.652 2.894
angles: 90.00 90.00 90.00
Space group Cmmm (No. 65)
Asymmetric unit:
1 Ti 0.000 0.068 0.000 (multiplicity 4)
2 Mn 0.000 0.197 0.000 (multiplicity 4)
3 Co 0.000 0.368 0.500 (multiplicity 4)
4 Co 0.000 0.500 0.500 (multiplicity 2)

DFT formation energy: -0.05 eV/atom

=====

(6)
TiMnCo6: relaxed, PBE-GGA.

abc: 7.123 10.055 10.068
angles: 90.00 90.00 90.00
Space group Cmmm (No. 65)
Asymmetric unit:
1 Ti 0.000 0.000 0.246 (multiplicity 4)
2 Ti 0.000 0.246 0.000 (multiplicity 4)
3 Mn 0.000 0.246 0.500 (multiplicity 4)
4 Mn 0.000 0.500 0.251 (multiplicity 4)
5 Co 0.000 0.000 0.000 (multiplicity 2)
6 Co 0.000 0.000 0.500 (multiplicity 2)
7 Co 0.000 0.253 0.257 (multiplicity 8)
8 Co 0.000 0.500 0.000 (multiplicity 2)
9 Co 0.000 0.500 0.500 (multiplicity 2)
10 Co 0.243 0.377 0.128 (multiplicity 16)
11 Co 0.246 0.373 0.378 (multiplicity 16)

DFT formation energy: -0.11 eV/atom
polymorph energy (0 for the lowest one): 0 meV/atom

=====

| no. | raw total energy (eV/atom) | DOS at the Fermi energy (states/eV/atom) |
| --- | --- | --- |
| 1 | -8.28 | 0.89 |
| 2 | -8.39 | 1.14 |
| 3 | -8.41 | 0.47 |
| 4 | -7.93 | 1.79 |
| 5 | -7.97 | 0.73 |
| 6 | -7.57 | 1.16 |